Record 1
## Na3Pu3InTe8 (PBE-GGA)

Data for crystalline Na3Pu3InTe8 at its relaxed geometry.

Cell: 9.086 9.086 9.086 Å, 58.57 58.57 58.57°
Fractional positions:
Na 0.000 0.500 0.500
Na 0.500 0.000 0.500
Na 0.500 0.500 0.000
Pu 0.000 0.000 0.500
Pu 0.000 0.500 0.000
Pu 0.500 0.000 0.000
In 0.500 0.500 0.500
Te 0.244 0.244 0.244
Te 0.245 0.742 0.742
Te 0.258 0.258 0.755
Te 0.258 0.755 0.258
Te 0.742 0.245 0.742
Te 0.742 0.742 0.245
Te 0.755 0.258 0.258
Te 0.756 0.756 0.756

Values from the calculation:
D(E_F): 2.390 states/eV/atom
SG: R-3m
VASP energy: -5.8274 eV/atom
energy relative to the elements, uncorrected: -0.84 eV per atom

=====

Record 2
## NdYTm3 (PBE-GGA)

Data for crystalline NdYTm3 at its relaxed geometry.

Cell: 8.530 8.530 11.453 Å, 90.00 90.00 155.41°
Fractional positions:
Nd 0.192 0.808 0.750
Nd 0.808 0.192 0.250
Y 0.483 0.517 0.250
Y 0.517 0.483 0.750
Tm 0.147 0.853 0.250
Tm 0.344 0.656 0.503
Tm 0.344 0.656 0.997
Tm 0.656 0.344 0.003
Tm 0.656 0.344 0.497
Tm 0.853 0.147 0.750

Values from the calculation:
energy above the lowest structure with this stoichiometry: 1.63 eV/f.u.
D(E_F): 1.668 states/eV/atom
SG: Cmcm
ΔE_f: 0.334 eV per atom
VASP energy: -4.5952 eV/atom

=====

Record 3
## TbNd4Th2 (PBE-GGA)

Data for crystalline TbNd4Th2 at its relaxed geometry.

Cell: 20.847 20.847 20.847 Å, 10.01 10.01 10.01°
Fractional positions:
Tb 0.000 0.000 0.000
Nd 0.096 0.096 0.096
Nd 0.380 0.380 0.380
Nd 0.620 0.620 0.620
Nd 0.904 0.904 0.904
Th 0.190 0.190 0.190
Th 0.810 0.810 0.810

Values from the calculation:
D(E_F): 1.444 states/eV/atom
SG: R-3m
ΔE_f: 0.037 eV per atom
VASP energy: -5.4692 eV/atom

=====

Record 4
## La2Ga7Au (PBE-GGA)

Data for crystalline La2Ga7Au at its relaxed geometry.

Cell: 4.463 4.463 10.476 Å, 90.00 90.00 90.00°
Fractional positions:
La 0.000 0.500 0.248
La 0.500 0.000 0.752
Ga 0.000 0.000 0.000
Ga 0.000 0.000 0.500
Ga 0.000 0.500 0.631
Ga 0.000 0.500 0.868
Ga 0.500 0.000 0.132
Ga 0.500 0.000 0.369
Ga 0.500 0.500 0.500
Au 0.500 0.500 0.000

Values from the calculation:
energy above the lowest structure with this stoichiometry: 0.18 eV/f.u.
D(E_F): 0.390 states/eV/atom
SG: P-4m2
ΔE_f: -0.569 eV per atom
VASP energy: -4.0010 eV/atom

=====

Record 5
## Cs3CrCl6 (PBE-GGA)

Data for crystalline Cs3CrCl6 at its relaxed geometry.

Cell: 7.930 7.971 13.592 Å, 90.00 124.25 90.00°
Fractional positions:
Cs 0.000 0.000 0.000
Cs 0.000 0.500 0.500
Cs 0.267 0.048 0.754
Cs 0.267 0.452 0.254
Cs 0.733 0.548 0.746
Cs 0.733 0.952 0.246
Cr 0.500 0.000 0.500
Cr 0.500 0.500 0.000
Cl 0.223 0.013 0.296
Cl 0.223 0.487 0.796
Cl 0.301 0.672 0.040
Cl 0.301 0.828 0.540
Cl 0.375 0.244 0.540
Cl 0.375 0.256 0.040
Cl 0.625 0.744 0.960
Cl 0.625 0.756 0.460
Cl 0.699 0.172 0.460
Cl 0.699 0.328 0.960
Cl 0.777 0.513 0.204
Cl 0.777 0.987 0.704

Values from the calculation:
energy above the lowest structure with this stoichiometry: 0.00 eV/f.u.
D(E_F): 0.000 states/eV/atom
SG: P2_1/c
VASP energy: -3.9925 eV/atom
energy relative to the elements, uncorrected: -1.67 eV per atom

=====

Record 6
## CsIrPtO6 (PBE-GGA)

Data for crystalline CsIrPtO6 at its relaxed geometry.

Cell: 5.367 5.367 6.598 Å, 90.00 90.00 120.00°
Fractional positions:
Cs 0.000 0.000 0.000
Ir 0.333 0.667 0.500
Pt 0.667 0.333 0.500
O 0.008 0.403 0.334
O 0.008 0.605 0.666
O 0.395 0.403 0.666
O 0.395 0.992 0.334
O 0.597 0.605 0.334
O 0.597 0.992 0.666

Values from the calculation:
D(E_F): 0.777 states/eV/atom
SG: P312
VASP energy: -5.8289 eV/atom
energy relative to the elements, uncorrected: -0.77 eV per atom